Crystalline CaSn3Pd2 at its relaxed geometry. Source: the Alexandria database, functional PBE-GGA.

Summary:
Total energy: -4.621 eV/atom
ΔE_f: -0.555 eV per atom

a b c (Å): 9.229 9.229 11.286
angles (deg): 110.62 110.62 27.90
Fractional coordinates of all 18 atoms:
Ca: 0.000 0.000 0.000
Ca: 0.160 0.160 0.697
Ca: 0.840 0.840 0.303
Sn: 0.033 0.033 0.340
Sn: 0.216 0.216 0.383
Sn: 0.321 0.321 0.042
Sn: 0.379 0.379 0.817
Sn: 0.500 0.500 0.500
Sn: 0.621 0.621 0.183
Sn: 0.679 0.679 0.958
Sn: 0.784 0.784 0.617
Sn: 0.967 0.967 0.660
Pd: 0.197 0.197 0.128
Pd: 0.365 0.365 0.557
Pd: 0.472 0.472 0.208
Pd: 0.528 0.528 0.792
Pd: 0.635 0.635 0.443
Pd: 0.803 0.803 0.872